{
  "formula": "AlO",
  "functional": "PBE",
  "state": "optimized geometry",
  "cell": [[3.7899, 0.0000, 0.0000], [0.0000, 8.1523, 0.0000], [0.0000, 0.0000, 2.9671]],
  "species": ["Al", "Al", "O", "O", "O", "O", "Al", "Al"],
  "fractional_positions": [[0.0000, 0.6488, 0.2500], [0.5000, 0.8512, 0.7500], [0.0000, 0.2016, 0.2500], [0.0000, 0.7984, 0.7500], [0.5000, 0.2984, 0.7500], [0.5000, 0.7016, 0.2500], [0.0000, 0.3512, 0.7500], [0.5000, 0.1488, 0.2500]],
  "magmom_total_mub_per_fu": 0.00,
  "dos_ef_per_ev_atom": 0.095,
  "total_energy_ev_per_atom": -6.63
}